A plane-wave DFT calculation with PBE with a Hubbard U was carried out for crystalline NpTl2CrO8 at its relaxed geometry.

extended XYZ file:
```
12
Lattice="5.133 0.000 0.000 0.000 6.506 0.000 -0.312 0.000 5.129" Properties=species:S:1:pos:R:3 pbc="T T T"
Np 0.000 0.000 0.000
Tl 2.410 1.700 2.565
Tl 2.410 4.806 2.565
Cr 0.000 3.253 0.000
O 0.604 1.575 4.276
O 0.604 4.931 4.276
O 1.364 3.253 1.466
O 1.419 0.000 1.521
O 3.402 0.000 3.609
O 3.456 3.253 3.664
O 4.217 1.575 0.853
O 4.217 4.931 0.853
```

D(E_F) = 1.5 states/eV per cell
Crystal system = monoclinic
E = -6.940 eV/atom